Entry 1:
This record from the Alexandria database describes a relaxed KS2Br2 crystal. The functional is GGA-PBE.

- Formation energy from raw total energies: -2.25 eV/f.u.
- Space-group type: No. 127

a b c (Å): 8.560 8.560 4.493
angles (deg): 90.00 90.00 90.00
Fractional coordinates of all 10 atoms:
K1 0.000 0.000 0.000
K2 0.500 0.500 0.000
S1 0.077 0.423 0.000
S2 0.423 0.923 0.000
S3 0.577 0.077 0.000
S4 0.923 0.577 0.000
Br1 0.242 0.258 0.500
Br2 0.258 0.758 0.500
Br3 0.742 0.242 0.500
Br4 0.758 0.742 0.500

***

Entry 2:
This record from the Alexandria database describes a relaxed LaY2Sn crystal. The functional is GGA-PBE.

- Calculated formation energy: -424.3 meV/atom
- Space-group type: No. 123

a b c (Å): 4.954 4.954 4.813
angles (deg): 90.00 90.00 90.00
Fractional coordinates of all 4 atoms:
La1 0.000 0.000 0.000
Y1 0.000 0.500 0.500
Y2 0.500 0.000 0.500
Sn1 0.500 0.500 0.000

***

Entry 3:
This record from the Alexandria database describes a relaxed LuScCuAu crystal. The functional is GGA-PBE.

- Calculated formation energy: -556.3 meV/atom
- Space-group type: No. 216

a b c (Å): 4.823 4.823 4.823
angles (deg): 60.00 60.00 60.00
Fractional coordinates of all 4 atoms:
Lu1 0.000 0.000 0.000
Sc1 0.500 0.500 0.500
Cu1 0.750 0.750 0.750
Au1 0.250 0.250 0.250

***

Entry 4:
This record from the Alexandria database describes a relaxed Mg7Zn5 crystal. The functional is GGA-PBE.

- Calculated formation energy: -47.8 meV/atom
- Space-group type: No. 12

a b c (Å): 5.567 5.567 9.657
angles (deg): 93.30 93.30 49.81
Fractional coordinates of all 12 atoms:
Mg1 0.000 0.000 0.000
Mg2 0.173 0.173 0.753
Mg3 0.347 0.347 0.497
Mg4 0.475 0.475 0.795
Mg5 0.525 0.525 0.205
Mg6 0.653 0.653 0.503
Mg7 0.827 0.827 0.247
Zn1 0.000 0.000 0.500
Zn2 0.149 0.149 0.285
Zn3 0.289 0.289 0.050
Zn4 0.711 0.711 0.950
Zn5 0.851 0.851 0.715

***

Entry 5:
This record from the Alexandria database describes a relaxed BaMn2Te crystal. The functional is GGA-PBE.

- Formation energy from raw total energies: 1.61 eV/f.u.
- Space-group type: No. 119

a b c (Å): 6.216 6.216 6.216
angles (deg): 136.24 136.24 63.60
Fractional coordinates of all 4 atoms:
Ba1 0.000 0.000 0.000
Mn1 0.250 0.750 0.500
Mn2 0.500 0.500 0.000
Te1 0.750 0.250 0.500

***

Entry 6:
This record from the Alexandria database describes a relaxed Ac4Si2Cl crystal. The functional is GGA-PBE.

- Formation energy from raw total energies: -4.31 eV/f.u.
- Space-group type: No. 11

a b c (Å): 7.680 7.698 8.905
angles (deg): 90.00 106.77 90.00
Fractional coordinates of all 14 atoms:
Ac1 0.001 0.250 0.404
Ac2 0.004 0.250 0.854
Ac3 0.466 0.009 0.746
Ac4 0.466 0.491 0.746
Ac5 0.534 0.509 0.254
Ac6 0.534 0.991 0.254
Ac7 0.996 0.750 0.146
Ac8 0.999 0.750 0.596
Si1 0.293 0.750 0.953
Si2 0.328 0.750 0.451
Si3 0.672 0.250 0.549
Si4 0.707 0.250 0.047
Cl1 0.227 0.250 0.184
Cl2 0.773 0.750 0.816

***

Entry 7:
This record from the Alexandria database describes a relaxed PaV2Rh crystal. The functional is GGA-PBE.

- Calculated formation energy: 74.7 meV/atom
- Space-group type: No. 123

a b c (Å): 3.264 3.264 6.081
angles (deg): 90.00 90.00 90.00
Fractional coordinates of all 4 atoms:
Pa1 0.000 0.000 0.000
V1 0.500 0.500 0.256
V2 0.500 0.500 0.744
Rh1 0.000 0.000 0.500

***

Entry 8:
This record from the Alexandria database describes a relaxed RbHgAsRh crystal. The functional is GGA-PBE.

- Calculated formation energy: -437.4 meV/atom
- Space-group type: No. 129

a b c (Å): 4.152 4.152 13.182
angles (deg): 90.00 90.00 90.00
Fractional coordinates of all 8 atoms:
Rb1 0.250 0.250 0.246
Rb2 0.750 0.750 0.754
Hg1 0.250 0.750 0.000
Hg2 0.750 0.250 0.000
As1 0.250 0.250 0.601
As2 0.750 0.750 0.399
Rh1 0.250 0.750 0.500
Rh2 0.750 0.250 0.500

***

Entry 9:
This record from the Alexandria database describes a relaxed CdCuRe2 crystal. The functional is GGA-PBE.

- Calculated formation energy: 554.5 meV/atom
- Space-group type: No. 166

a b c (Å): 9.411 9.411 9.411
angles (deg): 16.96 16.96 16.96
Fractional coordinates of all 4 atoms:
Cd1 0.000 0.000 0.000
Cu1 0.500 0.500 0.500
Re1 0.244 0.244 0.244
Re2 0.756 0.756 0.756

***

Entry 10:
This record from the Alexandria database describes a relaxed CoTe2N crystal. The functional is GGA-PBE.

- Formation energy from raw total energies: 2.55 eV/f.u.
- Space-group type: No. 122

a b c (Å): 6.761 6.761 6.761
angles (deg): 133.02 133.02 68.63
Fractional coordinates of all 8 atoms:
Co1 0.000 0.000 0.000
Co2 0.750 0.250 0.500
Te1 0.136 0.625 0.011
Te2 0.375 0.386 0.511
Te3 0.614 0.125 0.989
Te4 0.875 0.864 0.489
N1 0.250 0.750 0.500
N2 0.500 0.500 0.000

***

Entry 11:
This record from the Alexandria database describes a relaxed Dy15Ho2Th2 crystal. The functional is GGA-PBE.

- Calculated formation energy: 300.4 meV/atom
- Space-group type: No. 166

a b c (Å): 8.722 8.722 8.722
angles (deg): 78.68 78.68 78.68
Fractional coordinates of all 19 atoms:
Dy1 0.000 0.000 0.500
Dy2 0.000 0.300 0.700
Dy3 0.000 0.500 0.000
Dy4 0.000 0.700 0.300
Dy5 0.148 0.629 0.629
Dy6 0.300 0.000 0.700
Dy7 0.300 0.700 0.000
Dy8 0.371 0.371 0.852
Dy9 0.371 0.852 0.371
Dy10 0.500 0.000 0.000
Dy11 0.629 0.148 0.629
Dy12 0.629 0.629 0.148
Dy13 0.700 0.000 0.300
Dy14 0.700 0.300 0.000
Dy15 0.852 0.371 0.371
Ho1 0.316 0.316 0.316
Ho2 0.684 0.684 0.684
Th1 0.088 0.088 0.088
Th2 0.912 0.912 0.912

***

Entry 12:
This record from the Alexandria database describes a relaxed AlPbAu3 crystal. The functional is GGA-PBE.

- Calculated formation energy: -205.2 meV/atom
- Space-group type: No. 14

a b c (Å): 8.960 5.527 8.492
angles (deg): 90.00 98.30 90.00
Fractional coordinates of all 20 atoms:
Al1 0.076 0.187 0.367
Al2 0.076 0.313 0.867
Al3 0.924 0.687 0.133
Al4 0.924 0.813 0.633
Pb1 0.392 0.621 0.798
Pb2 0.392 0.879 0.298
Pb3 0.608 0.121 0.702
Pb4 0.608 0.379 0.202
Au1 0.091 0.679 0.418
Au2 0.091 0.821 0.918
Au3 0.200 0.048 0.652
Au4 0.200 0.452 0.152
Au5 0.363 0.142 0.970
Au6 0.363 0.358 0.470
Au7 0.637 0.642 0.530
Au8 0.637 0.858 0.030
Au9 0.800 0.548 0.848
Au10 0.800 0.952 0.348
Au11 0.909 0.179 0.082
Au12 0.909 0.321 0.582